[1]
First-principles (PBEsol) data for a relaxed BeCuSi2F crystal, as listed in Alexandria via LeMat-Bulk.

* formation energy without anion corrections: 1.05 eV per formula unit
* space group: P4/mmm (123)

Cell and atoms, written as CIF:
```
data_BeCuSi2F
_cell_length_a 2.9388
_cell_length_b 4.8957
_cell_length_c 4.8957
_cell_angle_alpha 90.00
_cell_angle_beta 90.00
_cell_angle_gamma 90.00
_space_group_name_H-M_alt 'P 1'
_space_group_IT_number 1
loop_
_space_group_symop_operation_xyz
'x,y,z'
loop_
_atom_site_label
_atom_site_fract_x
_atom_site_fract_y
_atom_site_fract_z
F1 0.0000 0.0000 0.0000
Si1 0.0000 0.0000 0.5000
Si2 0.0000 0.5000 0.0000
Be1 0.5000 0.0000 0.0000
Cu1 0.5000 0.5000 0.5000
```

[2]
First-principles (PBEsol) data for a relaxed BeCuTc2F crystal, as listed in Alexandria via LeMat-Bulk.

* formation energy without anion corrections: 3.21 eV per formula unit
* space group: P4/mmm (123)

Cell and atoms, written as CIF:
```
data_BeCuTc2F
_cell_length_a 2.8255
_cell_length_b 4.6659
_cell_length_c 4.6659
_cell_angle_alpha 90.00
_cell_angle_beta 90.00
_cell_angle_gamma 90.00
_space_group_name_H-M_alt 'P 1'
_space_group_IT_number 1
loop_
_space_group_symop_operation_xyz
'x,y,z'
loop_
_atom_site_label
_atom_site_fract_x
_atom_site_fract_y
_atom_site_fract_z
Tc1 0.0000 0.5000 0.0000
Cu1 0.5000 0.5000 0.5000
Tc2 0.0000 0.0000 0.5000
F1 0.5000 0.0000 0.0000
Be1 0.0000 0.0000 0.0000
```

[3]
First-principles (PBEsol) data for a relaxed BeFe2Cu crystal, as listed in Alexandria via LeMat-Bulk.

* energy relative to the elements: 7.8 kJ/mol of atoms
* space group: Imm2 (44)

Cell and atoms, written as CIF:
```
data_BeFe2Cu
_cell_length_a 2.8013
_cell_length_b 3.9031
_cell_length_c 4.4263
_cell_angle_alpha 116.16
_cell_angle_beta 108.45
_cell_angle_gamma 90.00
_space_group_name_H-M_alt 'P 1'
_space_group_IT_number 1
loop_
_space_group_symop_operation_xyz
'x,y,z'
loop_
_atom_site_label
_atom_site_fract_x
_atom_site_fract_y
_atom_site_fract_z
Fe1 0.7602 0.2602 0.5204
Fe2 0.0037 0.0037 0.0073
Cu1 0.2334 0.7334 0.4669
Be1 0.5027 0.5027 0.0054
```

| no. | DFT total energy (eV per formula unit) |
| --- | --- |
| 1 | -20.7 |
| 2 | -29.6 |
| 3 | -25.9 |